No. 1
{"formula": "InHgPb2", "functional": "PBE", "state": "optimized geometry", "lattice": [[4.4754, 0.0000, 0.0000], [0.0000, 5.0724, 0.0000], [0.0000, 0.0000, 5.0856]], "species": ["In", "Hg", "Pb", "Pb"], "frac_coords": [[0.0000, 0.0000, 0.0000], [0.5000, 0.5000, 0.0000], [0.0000, 0.5000, 0.5000], [0.5000, 0.0000, 0.5000]], "formation_enthalpy_0k_ev_per_atom": 0.024, "dft_energy_ev_per_atom": -2.5905, "volume_a3_per_fu": 115.4}

No. 2
{"formula": "SrCd2W", "functional": "PBE", "state": "optimized geometry", "lattice": [[3.3415, -4.3685, 0.0000], [3.3415, 4.3685, 0.0000], [0.0000, 0.0000, 3.0270]], "species": ["Sr", "Cd", "Cd", "W"], "frac_coords": [[0.0000, 0.0000, 0.0000], [0.0000, 0.5000, 0.5000], [0.5000, 0.0000, 0.5000], [0.5000, 0.5000, 0.0000]], "formation_enthalpy_0k_ev_per_atom": 0.674, "dft_energy_ev_per_atom": -3.4422, "volume_a3_per_fu": 88.4}

No. 3
{"formula": "CaSbAu2", "functional": "PBE", "state": "optimized geometry", "lattice": [[3.2106, -3.2145, 0.0000], [3.2106, 3.2145, 0.0000], [-0.0235, 0.0000, 4.3193]], "species": ["Ca", "Sb", "Au", "Au"], "frac_coords": [[0.0000, 0.0000, 0.0000], [0.5000, 0.5000, 0.0000], [0.0000, 0.5000, 0.5000], [0.5000, 0.0000, 0.5000]], "dft_energy_ev_per_atom": -3.6732, "formation_energy_uncorrected_kj_per_mol_atoms": -49, "volume_a3_per_fu": 89.2}